YTaN2O | PBE | relaxed

Spin magnetization: 0.00 μB/f.u.
Calculated volume: 495.45 Å³/cell
Total energy: -397.3 eV for the cell shown

Cell: 7.8976 7.9124 11.0099 Å, 90.00 133.93 90.00°
Closest atoms and distances in Å follow each position.
Element x y z (fractional)
N 0.1945 0.4517 0.1942  2 Ta 1.99-2.00
N 0.9657 0.7500 0.6856  2 Ta 2.05-2.06, 1 Y 2.30
N 0.4683 0.7499 0.2819  2 Ta 2.01-2.10
N 0.8055 0.5483 0.8058  2 Ta 1.99-2.00
N 0.0343 0.2500 0.8144  2 Ta 2.05-2.06, 1 Y 2.30
N 0.8055 0.9517 0.3058  2 Ta 1.99-2.00
N 0.5317 0.2499 0.2181  2 Ta 2.01-2.10
N 0.5317 0.2501 0.7181  2 Ta 2.01-2.10
N 0.0343 0.2500 0.3144  2 Ta 2.05-2.06, 1 Y 2.30
N 0.4683 0.7501 0.7819  2 Ta 2.01-2.10
N 0.9657 0.7500 0.1856  2 Ta 2.05-2.06, 1 Y 2.30
N 0.6862 0.0506 0.5002  2 Ta 1.98-2.00
N 0.3138 0.5506 0.9998  2 Ta 1.98-2.00
N 0.6862 0.4494 0.0002  2 Ta 1.98-2.00
N 0.1945 0.0483 0.6942  2 Ta 1.99-2.00
N 0.3138 0.9494 0.4998  2 Ta 1.98-2.00
Ta 0.0119 0.9961 0.2663  4 N 1.98-2.06, 2 O 2.15-2.21
Ta 0.5171 0.5057 0.7619  4 N 2.00-2.10, 2 O 2.13-2.16
Ta 0.5171 0.9943 0.2619  4 N 2.00-2.10, 2 O 2.13-2.16
Ta 0.4829 0.0057 0.7381  4 N 2.00-2.10, 2 O 2.13-2.16
Ta 0.9881 0.0039 0.7337  4 N 1.98-2.06, 2 O 2.15-2.21
Ta 0.0119 0.5039 0.7663  4 N 1.98-2.06, 2 O 2.15-2.21
Ta 0.4829 0.4943 0.2381  4 N 2.00-2.10, 2 O 2.13-2.16
Ta 0.9881 0.4961 0.2337  4 N 1.98-2.06, 2 O 2.15-2.21
O 0.6951 0.0512 0.9996  2 Ta 2.13-2.21, 1 Y 2.34
O 0.3049 0.5512 0.5004  2 Ta 2.13-2.21, 1 Y 2.34
O 0.8148 0.5490 0.3163  2 Ta 2.15-2.16, 1 Y 2.30
O 0.3049 0.9488 0.0004  2 Ta 2.13-2.21, 1 Y 2.34
O 0.6951 0.4488 0.4996  2 Ta 2.13-2.21, 1 Y 2.34
O 0.1852 0.0490 0.1837  2 Ta 2.15-2.16, 1 Y 2.30
O 0.8148 0.9510 0.8163  2 Ta 2.15-2.16, 1 Y 2.30
O 0.1852 0.4510 0.6837  2 Ta 2.15-2.16, 1 Y 2.30
Y 0.9435 0.2444 0.9725  3 N 2.30-2.42, 1 O 2.30
Y 0.5549 0.7430 0.5281  3 N 2.29-2.39, 1 O 2.34
Y 0.4451 0.2570 0.4719  3 N 2.29-2.39, 1 O 2.34
Y 0.9435 0.2556 0.4725  3 N 2.30-2.42, 1 O 2.30
Y 0.5549 0.7570 0.0281  3 N 2.29-2.39, 1 O 2.34
Y 0.0565 0.7444 0.5275  3 N 2.30-2.42, 1 O 2.30
Y 0.0565 0.7556 0.0275  3 N 2.30-2.42, 1 O 2.30
Y 0.4451 0.2430 0.9719  3 N 2.29-2.39, 1 O 2.34

=====

YTaN2O | PBE | relaxed

Spin magnetization: 0.00 μB/f.u.
Calculated volume: 395.67 Å³/cell
Total energy: -288.9 eV for the cell shown

Cell: 5.6905 5.6905 14.1091 Å, 90.00 90.00 120.00°
Closest atoms and distances in Å follow each position.
Element x y z (fractional)
Ta 0.3333 0.6667 0.1463  3 N 1.89
Ta 0.0000 0.0000 0.5000  6 N 2.03
Ta 0.6667 0.3333 0.8537  3 N 1.89
Ta 0.3333 0.6667 0.3537  3 N 1.89
Ta 0.0000 0.0000 0.0000  6 N 2.03
Ta 0.6667 0.3333 0.6463  3 N 1.89
N 0.8414 0.6828 0.5913  2 Ta 1.89-2.03
N 0.8414 0.1586 0.9087  2 Ta 1.89-2.03
N 0.6828 0.8414 0.0913  2 Ta 1.89-2.03
N 0.8414 0.6828 0.9087  2 Ta 1.89-2.03
N 0.6828 0.8414 0.4087  2 Ta 1.89-2.03
N 0.3172 0.1586 0.9087  2 Ta 1.89-2.03
N 0.1586 0.8414 0.0913  2 Ta 1.89-2.03
N 0.1586 0.3172 0.4087  2 Ta 1.89-2.03
N 0.1586 0.3172 0.0913  2 Ta 1.89-2.03
N 0.8414 0.1586 0.5913  2 Ta 1.89-2.03
N 0.3172 0.1586 0.5913  2 Ta 1.89-2.03
N 0.1586 0.8414 0.4087  2 Ta 1.89-2.03
O 0.4930 0.5070 0.7500  2 Ta 2.25, 2 Y 2.40
O 0.9861 0.4930 0.2500  2 Ta 2.25, 2 Y 2.40
O 0.5070 0.4930 0.2500  2 Ta 2.25, 2 Y 2.40
O 0.4930 0.9861 0.7500  2 Ta 2.25, 2 Y 2.40
O 0.5070 0.0139 0.2500  2 Ta 2.25, 2 Y 2.40
O 0.0139 0.5070 0.7500  2 Ta 2.25, 2 Y 2.40
Y 0.0000 0.0000 0.2500  6 N 2.73, 6 O 2.85
Y 0.6667 0.3333 0.3782  3 O 2.40
Y 0.0000 0.0000 0.7500  6 N 2.73, 6 O 2.85
Y 0.3333 0.6667 0.6218  3 O 2.40
Y 0.6667 0.3333 0.1218  3 O 2.40
Y 0.3333 0.6667 0.8782  3 O 2.40

=====

YTaNO | PBE | relaxed

Spin magnetization: 0.00 μB/f.u.
Calculated volume: 226.38 Å³/cell
Total energy: -153.9 eV for the cell shown
Energy above the most stable polymorph in this dataset: 0.013 eV per atom

Cell: 4.5482 6.4927 7.6663 Å, 90.00 90.00 90.00°
Closest atoms and distances in Å follow each position.
Element x y z (fractional)
N 0.0509 0.4219 0.0861  4 Ta 2.06-2.31
N 0.5509 0.0781 0.0861  4 Ta 2.06-2.31
N 0.0509 0.9219 0.9139  4 Ta 2.06-2.31
N 0.5509 0.5781 0.9139  4 Ta 2.06-2.31
Ta 0.5506 0.3912 0.1330  4 N 2.06-2.31, 1 O 2.11
Ta 0.0506 0.6088 0.8670  4 N 2.06-2.31, 1 O 2.11
Ta 0.0506 0.1087 0.1330  4 N 2.06-2.31, 1 O 2.11
Ta 0.5506 0.8913 0.8670  4 N 2.06-2.31, 1 O 2.11
Y 0.0505 0.0456 0.6289  4 O 2.31-2.37, 1 N 2.33
Y 0.0505 0.5456 0.3711  4 O 2.31-2.37, 1 N 2.33
Y 0.5505 0.9544 0.3711  4 O 2.31-2.37, 1 N 2.33
Y 0.5505 0.4544 0.6289  4 O 2.31-2.37, 1 N 2.33
O 0.5504 0.5985 0.3443  1 Ta 2.11, 3 Y 2.31-2.32
O 0.0504 0.4015 0.6557  1 Ta 2.11, 3 Y 2.31-2.32
O 0.5504 0.0985 0.6557  1 Ta 2.11, 3 Y 2.31-2.32
O 0.0504 0.9015 0.3443  1 Ta 2.11, 3 Y 2.31-2.32

=====

YTaN2O | PBE | relaxed

Spin magnetization: 0.00 μB/f.u.
Calculated volume: 744.49 Å³/cell
Total energy: -596.3 eV for the cell shown

Cell: 5.7244 7.8772 16.5106 Å, 89.99 89.88 89.96°
Closest atoms and distances in Å follow each position.
Element x y z (fractional)
N 0.4608 0.7484 0.5336  2 Ta 2.04-2.06
N 0.1856 0.0451 0.5621  2 Ta 1.99-2.04
N 0.8033 0.9384 0.1035  2 Ta 1.93-2.11
N 0.5305 0.2458 0.1348  2 Ta 1.99-2.00
N 0.0394 0.2477 0.0401  2 Ta 2.00
N 0.4693 0.7515 0.8650  2 Ta 2.01-2.07
N 0.0315 0.2476 0.3641  2 Ta 1.97-2.04
N 0.2010 0.0547 0.9033  2 Ta 1.99-2.02
N 0.7022 0.4542 0.9351  2 Ta 2.02-2.06
N 0.7969 0.9453 0.4301  1 Ta 1.93
N 0.8067 0.5568 0.1049  2 Ta 2.03-2.07
N 0.5380 0.2488 0.7991  2 Ta 2.02-2.11, 1 Y 2.24
N 0.2046 0.4561 0.2337  2 Ta 2.00-2.11
N 0.1976 0.4483 0.9014  2 Ta 2.06
N 0.2956 0.5550 0.3992  2 Ta 1.96-2.04
N 0.2979 0.9456 0.7314  2 Ta 2.02-2.03
N 0.0298 0.2508 0.6966  2 Ta 1.97-2.01
N 0.8046 0.5526 0.7654  2 Ta 1.95-2.16
N 0.7955 0.5578 0.4321  2 Ta 1.99-2.10
N 0.5241 0.2489 0.4653  2 Ta 2.06-2.09, 1 Y 2.29
N 0.3039 0.5548 0.7288  2 Ta 1.94-2.12
N 0.6937 0.0490 0.6022  2 Ta 1.92-2.13
N 0.7028 0.0538 0.9340  2 Ta 1.91-2.14
N 0.3076 0.5582 0.0665  2 Ta 1.94-2.16
Y 0.5645 0.7435 0.9998  2 N 2.29-2.35, 2 O 2.37-2.38
Y 0.4512 0.2540 0.3292  2 O 2.28-2.36, 2 N 2.29-2.47
Y 0.0528 0.7466 0.8327  2 O 2.28-2.33, 2 N 2.37-2.44
Y 0.9395 0.2522 0.5046  1 O 2.30, 3 N 2.36-2.47
Y 0.4408 0.2567 0.9919  6 N 2.35-2.56
Y 0.5640 0.7531 0.6732  2 O 2.34-2.51, 4 N 2.34-2.59
Y 0.9386 0.2569 0.8367  6 N 2.37-2.64
Y 0.5645 0.7449 0.3410  3 O 2.27-2.34, 3 N 2.35-2.54
Y 0.4515 0.2551 0.6667  3 N 2.24-2.46, 1 O 2.32
Y 0.9533 0.2570 0.1744  3 N 2.27-2.51, 1 O 2.33
Y 0.0574 0.7481 0.4987  1 O 2.22, 3 N 2.38-2.43
Y 0.0689 0.7444 0.1612  3 O 2.27-2.51, 3 N 2.30-2.54
Ta 0.0191 0.4991 0.3347  4 N 1.96-2.10, 2 O 2.15-2.17
Ta 0.9930 0.4867 0.0025  5 N 2.00-2.16, 1 O 2.18
Ta 0.4950 0.5037 0.8362  6 N 2.01-2.16
Ta 0.5093 0.5027 0.4950  4 N 1.99-2.06, 2 O 2.07-2.21
Ta 0.9968 0.0045 0.3399  2 N 1.93-1.97, 4 O 1.98-2.16
Ta 0.5035 0.0008 0.5095  4 N 1.92-2.09
Ta 0.5197 0.9988 0.1600  2 N 1.93-1.99, 3 O 1.99-2.10
Ta 0.4771 0.0059 0.8333  5 N 1.99-2.14
Ta 0.4984 0.4932 0.1584  4 N 1.94-2.11
Ta 0.9785 0.0146 0.9968  4 N 1.91-2.11, 1 O 2.11
Ta 0.0138 0.0098 0.6656  4 N 1.97-2.13, 2 O 2.12-2.20
Ta 0.0121 0.5019 0.6750  3 N 1.94-2.01, 2 O 2.10-2.14
O 0.9524 0.7456 0.6283  2 Ta 2.10-2.20, 2 Y 2.22-2.34
O 0.4615 0.7553 0.2082  2 Ta 2.10-2.23, 1 Y 2.27
O 0.8059 0.9356 0.7656  2 Ta 2.12-2.26, 1 Y 2.33
O 0.6990 0.4435 0.2691  2 Ta 2.17-2.20, 1 Y 2.28
O 0.6996 0.0536 0.2668  2 Ta 2.09-2.12
O 0.3093 0.9311 0.0702  1 Ta 1.99
O 0.9686 0.7533 0.9678  2 Ta 2.11-2.18, 1 Y 2.28
O 0.6940 0.4433 0.5989  2 Ta 2.07-2.26
O 0.9493 0.7516 0.2924  2 Ta 2.15-2.16, 2 Y 2.27-2.34
O 0.2955 0.9359 0.3906  1 Ta 1.98
O 0.1962 0.0513 0.2308  2 Ta 2.16-2.23, 1 Y 2.33
O 0.1827 0.4506 0.5620  2 Ta 2.14-2.21, 1 Y 2.30

=====

YTaN2O | PBE | relaxed

Spin magnetization: 0.00 μB/f.u.
Calculated volume: 66.59 Å³/cell
Total energy: -49.0 eV for the cell shown

Cell: 3.9862 3.9862 4.1910 Å, 90.58 90.58 90.01°
Closest atoms and distances in Å follow each position.
Element x y z (fractional)
Y 0.0007 0.0007 0.9996  4 N 2.33-2.36
N 0.5077 0.0106 0.2941  2 Ta 2.03-2.04
N 0.0106 0.5077 0.2941  2 Ta 2.03-2.04
Ta 0.5099 0.5099 0.3890  1 O 1.89, 4 N 2.03-2.04
O 0.5197 0.5197 0.8392  1 Ta 1.89

=====

YTaN2O | PBE | relaxed

Spin magnetization: 0.00 μB/f.u.
Calculated volume: 129.26 Å³/cell
Total energy: -97.3 eV for the cell shown

Cell: 5.6604 3.9106 5.8396 Å, 90.00 90.00 90.00°
Closest atoms and distances in Å follow each position.
Element x y z (fractional)
N 0.5000 0.0000 0.5000  2 Ta 1.94
N 0.0000 0.0000 0.5000  2 Ta 1.94
N 0.2500 0.5000 0.1904  2 Ta 2.01, 1 Y 2.25
N 0.7500 0.5000 0.8096  2 Ta 2.01, 1 Y 2.25
O 0.5000 0.0000 0.0000  2 Ta 2.13
O 0.0000 0.0000 0.0000  2 Ta 2.13
Y 0.7500 0.5000 0.1956  1 N 2.25
Y 0.2500 0.5000 0.8044  1 N 2.25
Ta 0.7500 0.0000 0.7270  4 N 1.94-2.01, 2 O 2.13
Ta 0.2500 0.0000 0.2730  4 N 1.94-2.01, 2 O 2.13